A relaxed LiTb2FeO5 crystal. Source: Alexandria via LeMat-Bulk, functional PBE+U.

The structure in CIF format:
```
data_LiTb2FeO5
_chemical_formula_sum 'Li2 Tb4 Fe2 O10'
_cell_length_a 6.9226
_cell_length_b 6.9226
_cell_length_c 9.1313
_cell_angle_alpha 90.00
_cell_angle_beta 90.00
_cell_angle_gamma 152.16
_symmetry_space_group_name_H-M 'P 1'
_symmetry_Int_Tables_number 1
loop_
_symmetry_equiv_pos_as_xyz
'x,y,z'
loop_
_atom_site_label
_atom_site_fract_x
_atom_site_fract_y
_atom_site_fract_z
_atom_site_occupancy
Li1 0.2255 0.7745 0.5000 1
Li2 0.7745 0.2255 0.0000 1
Tb1 0.1235 0.8765 0.8008 1
Tb2 0.1268 0.8732 0.1800 1
Tb3 0.8732 0.1268 0.6800 1
Tb4 0.8765 0.1235 0.3008 1
Fe1 0.4227 0.5773 0.9819 1
Fe2 0.5773 0.4227 0.4819 1
O1 0.0343 0.9657 0.5596 1
O2 0.3042 0.6958 0.8487 1
O3 0.3091 0.6909 0.1493 1
O4 0.3608 0.6392 0.5018 1
O5 0.4909 0.5091 0.7894 1
O6 0.5091 0.4909 0.2894 1
O7 0.6392 0.3608 0.0018 1
O8 0.6909 0.3091 0.6493 1
O9 0.6958 0.3042 0.3487 1
O10 0.9657 0.0343 0.0596 1
```

Properties
Raw total energy, eV per atom: -7.277
SG: Cmc2_1